Entry 1:
VASP calculation (PBEsol) on a geometry-optimized TaSe2 structure.

Properties
DOS at the Fermi energy: 1.96 states/eV/f.u.
formation energy from raw total energies: -0.83 eV per atom
symmetry: R3m, No. 160
total DFT energy (no corrections): -22.736 eV/f.u.

a b c (Å): 12.654 12.654 12.654
angles (deg): 15.53 15.53 15.53
Atoms (fractional coordinates):
Ta  0.000  0.000  0.000
Ta  0.166  0.166  0.166
Se  0.289  0.289  0.289
Se  0.455  0.455  0.455
Se  0.544  0.544  0.544
Se  0.711  0.711  0.711

=====

Entry 2:
VASP calculation (PBEsol) on a geometry-optimized TaSe2 structure.

Properties
DOS at the Fermi energy: 1.50 states/eV/f.u.
formation energy from raw total energies: -0.81 eV per atom
symmetry: P-3m1, No. 164
total DFT energy (no corrections): -22.682 eV/f.u.

a b c (Å): 3.425 3.425 6.277
angles (deg): 90.00 90.00 120.00
Atoms (fractional coordinates):
Ta  0.000  0.000  0.000
Se  0.333  0.667  0.266
Se  0.667  0.333  0.734

=====

Entry 3:
VASP calculation (PBEsol) on a geometry-optimized TaSe2 structure.

Properties
DOS at the Fermi energy: 0.75 states/eV/f.u.
formation energy from raw total energies: -0.82 eV per atom
symmetry: P-1, No. 2
total DFT energy (no corrections): -22.725 eV/f.u.

a b c (Å): 8.673 9.353 11.075
angles (deg): 74.23 76.75 86.89
Atoms (fractional coordinates):
Ta  0.000  0.000  0.000
Ta  0.069  0.215  0.715
Ta  0.152  0.485  0.363
Ta  0.216  0.716  0.070
Ta  0.284  0.930  0.785
Ta  0.362  0.152  0.485
Ta  0.486  0.364  0.152
Ta  0.514  0.636  0.848
Ta  0.638  0.848  0.515
Ta  0.716  0.070  0.215
Ta  0.784  0.284  0.930
Ta  0.848  0.515  0.637
Ta  0.931  0.785  0.285
Se  0.008  0.059  0.218
Se  0.081  0.193  0.476
Se  0.081  0.283  0.920
Se  0.143  0.500  0.603
Se  0.176  0.420  0.158
Se  0.222  0.644  0.856
Se  0.229  0.755  0.293
Se  0.306  0.985  0.993
Se  0.321  0.876  0.556
Se  0.377  0.207  0.691
Se  0.401  0.102  0.251
Se  0.449  0.429  0.373
Se  0.480  0.341  0.934
Se  0.520  0.659  0.066
Se  0.551  0.571  0.627
Se  0.599  0.898  0.749
Se  0.623  0.793  0.309
Se  0.679  0.124  0.444
Se  0.694  0.015  0.007
Se  0.771  0.245  0.707
Se  0.778  0.356  0.144
Se  0.824  0.580  0.842
Se  0.857  0.500  0.397
Se  0.919  0.717  0.080
Se  0.919  0.807  0.524
Se  0.992  0.941  0.782

=====

Entry 4:
VASP calculation (PBEsol) on a geometry-optimized Ta5Se structure.

Properties
DOS at the Fermi energy: 4.33 states/eV/f.u.
formation energy from raw total energies: -0.02 eV per atom
symmetry: Cm, No. 8
total DFT energy (no corrections): -66.731 eV/f.u.

a b c (Å): 10.214 3.298 6.410
angles (deg): 90.00 102.17 90.00
Atoms (fractional coordinates):
Ta  0.000  0.000  0.000
Ta  0.019  0.000  0.481
Ta  0.173  0.500  0.817
Ta  0.316  0.000  0.154
Ta  0.356  0.000  0.673
Ta  0.500  0.500  0.000
Ta  0.519  0.500  0.481
Ta  0.673  0.000  0.817
Ta  0.816  0.500  0.154
Ta  0.856  0.500  0.673
Se  0.205  0.500  0.389
Se  0.705  0.000  0.389

=====

Entry 5:
VASP calculation (PBEsol) on a geometry-optimized TaSe2 structure.

Properties
DOS at the Fermi energy: 2.73 states/eV/f.u.
formation energy from raw total energies: -0.83 eV per atom
symmetry: Fmm2, No. 42
total DFT energy (no corrections): -22.729 eV/f.u.

a b c (Å): 3.423 12.971 5.903
angles (deg): 90.00 90.00 90.00
Atoms (fractional coordinates):
Ta  0.000  0.000  0.000
Ta  0.000  0.500  0.500
Ta  0.500  0.000  0.500
Ta  0.500  0.500  0.000
Se  0.000  0.129  0.666
Se  0.000  0.371  0.166
Se  0.000  0.629  0.166
Se  0.000  0.871  0.666
Se  0.500  0.129  0.166
Se  0.500  0.371  0.666
Se  0.500  0.629  0.666
Se  0.500  0.871  0.166

=====

Entry 6:
VASP calculation (PBEsol) on a geometry-optimized TaSe2 structure.

Properties
DOS at the Fermi energy: 1.16 states/eV/f.u.
formation energy from raw total energies: -0.63 eV per atom
symmetry: Cmcm, No. 63
total DFT energy (no corrections): -22.128 eV/f.u.

a b c (Å): 3.416 13.389 5.132
angles (deg): 90.00 90.00 90.00
Atoms (fractional coordinates):
Ta  0.000  0.194  0.250
Ta  0.000  0.806  0.750
Ta  0.500  0.306  0.750
Ta  0.500  0.694  0.250
Se  0.000  0.156  0.750
Se  0.000  0.447  0.750
Se  0.000  0.553  0.250
Se  0.000  0.844  0.250
Se  0.500  0.053  0.250
Se  0.500  0.344  0.250
Se  0.500  0.656  0.750
Se  0.500  0.947  0.750

=====

Entry 7:
VASP calculation (PBEsol) on a geometry-optimized Ta3Se4 structure.

Properties
DOS at the Fermi energy: 5.65 states/eV/f.u.
formation energy from raw total energies: 0.22 eV per atom
symmetry: P6/mmm, No. 191
total DFT energy (no corrections): -51.526 eV/f.u.

a b c (Å): 5.613 5.613 4.822
angles (deg): 90.00 90.00 120.00
Atoms (fractional coordinates):
Ta  0.000  0.500  0.000
Ta  0.500  0.000  0.000
Ta  0.500  0.500  0.000
Se  0.000  0.000  0.250
Se  0.000  0.000  0.750
Se  0.333  0.667  0.500
Se  0.667  0.333  0.500

=====

Entry 8:
VASP calculation (PBEsol) on a geometry-optimized TaSe2 structure.

Properties
DOS at the Fermi energy: 1.56 states/eV/f.u.
formation energy from raw total energies: -0.81 eV per atom
symmetry: R-3m, No. 166
total DFT energy (no corrections): -22.674 eV/f.u.

a b c (Å): 12.893 12.893 12.893
angles (deg): 15.25 15.25 15.25
Atoms (fractional coordinates):
Ta  0.082  0.082  0.082
Ta  0.918  0.918  0.918
Se  0.207  0.207  0.207
Se  0.372  0.372  0.372
Se  0.628  0.628  0.628
Se  0.793  0.793  0.793